Er6AlRu: relaxed, GGA-PBE.

The structure belongs to space group C2/m (No. 12); the cell edges are 6.819, 11.334 and 6.506 Å and the angles 90.00°, 114.53° and 90.00°. The distinct sites, in fractional coordinates, are Er at (0.225, 0.193, 0.248), Er at (0.233, 0.000, 0.764), Al at (0.000, 0.500, 0.500) and Ru at (0.000, 0.000, 0.000).

As for the size of the total moment: 0.00 μB per cell.



Er8AlRu2: relaxed, GGA-PBE.

The structure belongs to space group P1 (No. 1); the cell edges are 5.149, 6.861 and 8.951 Å and the angles 112.46°, 106.71° and 90.02°. The distinct sites, in fractional coordinates, are Er at (0.000, 0.000, 0.000), Er at (0.045, 0.583, 0.091), Er at (0.212, 0.117, 0.423), Er at (0.376, 0.913, 0.753), Er at (0.422, 0.421, 0.844), Er at (0.603, 0.277, 0.205), Er at (0.711, 0.834, 0.421), Er at (0.820, 0.496, 0.640), Al at (0.211, 0.539, 0.422), Ru at (0.540, 0.844, 0.081) and Ru at (0.880, 0.185, 0.762).

As for the size of the total moment: 0.00 μB per cell.



Formation energy from the elements, respectively: -15 -255 meV per atom.
D(E_F), respectively: 1.10 0.83 states/eV per atom.